Computed, not measured: a crystal of Mg2ScBiF relaxed with PBEsol at the SCAN level of DFT.

Lattice parameters (Å, degrees): 5.8511 5.8511 5.3131 90.00 90.00 90.00
Last column: nearest neighbours and their distance in Å.
Space group P4/mmm (No. 123)
Asymmetric unit:
Mg: 0.0000 0.5000 0.0000  2 Sc 2.93
Sc: 0.0000 0.0000 0.0000  2 Bi 2.66, 4 Mg 2.93
Bi: 0.0000 0.0000 0.5000  2 Sc 2.66
F: 0.5000 0.5000 0.5000  8 Mg 3.95, 4 Bi 4.14

Summary:
The calculation puts the size of the total moment at 0.00 Bohr magnetons per cell. As for the uncorrected formation energy: 293 meV per atom. The energy is -104.8 eV per cell.

***

Computed, not measured: a crystal of SrCu2Au relaxed with PBEsol at the SCAN level of DFT.

Lattice parameters (Å, degrees): 4.2560 4.2560 8.2557 90.00 90.00 90.00
Last column: nearest neighbours and their distance in Å.
Space group I-4m2 (No. 119)
Asymmetric unit:
Sr: 0.0000 0.0000 0.0000  8 Cu 2.96-3.01, 4 Au 2.96
Cu: 0.0000 0.0000 0.5000  4 Cu 2.96, 4 Au 2.96, 4 Sr 3.01
Cu: 0.0000 0.5000 0.7500  4 Cu 2.96, 4 Sr 2.96, 4 Au 3.01
Au: 0.0000 0.5000 0.2500  8 Cu 2.96-3.01, 4 Sr 2.96

Summary:
For the energy above the most stable polymorph in this dataset, the calculation gives 397 meV per atom. The calculation puts the size of the total moment at 0.00 Bohr magnetons per cell. The energy is -243.3 eV per cell. Its energy relative to the elements is 46 meV per atom.

***

Computed, not measured: a crystal of LaC2I relaxed with PBEsol at the SCAN level of DFT.

Lattice parameters (Å, degrees): 6.4465 6.4465 6.4465 90.00 90.00 90.00
Last column: nearest neighbours and their distance in Å.
Space group Fm-3m (No. 225)
Asymmetric unit:
La: 0.0000 0.0000 0.0000  8 C 2.79
C: 0.2500 0.2500 0.2500  4 La 2.79, 4 I 2.79
I: 0.0000 0.0000 0.5000  8 C 2.79

Summary:
The calculation puts the size of the total moment at 0.00 Bohr magnetons per cell. As for the uncorrected formation energy: 1735 meV per atom. The energy is -372.4 eV per cell.